# 1
Entry from Alexandria via LeMat-Bulk: an optimized crystal structure of PrYRhPb (GGA-PBE).

Lattice parameters (Å, degrees): 5.260 5.260 5.260 60.00 60.00 60.00
Atoms (fractional coordinates):
Pb: 0.500 0.500 0.500
Pr: 0.250 0.250 0.250
Rh: 0.000 0.000 0.000
Y: 0.750 0.750 0.750

Output
VASP energy = -6.040 eV per atom
Fermi-level density of states = 0.80 states/eV/atom
Spin magnetization = 0.00 μB per cell
Mass density = 8.71 g/cm3



# 2
Entry from Alexandria via LeMat-Bulk: an optimized crystal structure of Hf2Pd2Pt7 (GGA-PBE).

Lattice parameters (Å, degrees): 3.986 7.489 7.489 63.27 105.45 105.45
Atoms (fractional coordinates):
Hf: 0.832 0.832 0.832
Hf: 0.168 0.168 0.168
Pd: 0.000 0.266 0.734
Pd: 0.000 0.734 0.266
Pt: 0.662 0.907 0.416
Pt: 0.662 0.416 0.907
Pt: 0.174 0.674 0.674
Pt: 0.500 0.000 0.000
Pt: 0.826 0.326 0.326
Pt: 0.338 0.584 0.093
Pt: 0.338 0.093 0.584

Output
VASP energy = -7.198 eV per atom
Fermi-level density of states = 1.15 states/eV/atom
Spin magnetization = 0.00 μB per cell
Mass density = 16.95 g/cm3



# 3
Entry from Alexandria via LeMat-Bulk: an optimized crystal structure of Mo3PtBr (GGA-PBE).

Lattice parameters (Å, degrees): 4.550 4.550 4.550 90.00 90.00 90.00
Atoms (fractional coordinates):
Mo: 0.000 0.500 0.000
Mo: 0.000 0.000 0.500
Mo: 0.500 0.000 0.000
Br: 0.000 0.000 0.000
Pt: 0.500 0.500 0.500

Output
Fermi-level density of states = 1.47 states/eV/atom
Spin magnetization = 0.00 μB per cell
E_form (uncorrected) = 7.9 eV per formula unit
Offset from the most stable computed form = 0.0 meV/atom
Mass density = 9.92 g/cm3